# 1
Below is a relaxed Ga12Bi3Sb5 crystal, with properties calculated at the PBE level.

Lattice parameters (Å, degrees): 14.5450 14.5450 14.5450 109.47 109.47 109.47
Closest atoms and distances in Å follow each position.
Element x y z (fractional)
Ga (0.0593, 0.2264, 0.1431)  2 Sb 2.75-2.87, 2 Bi 3.04-3.05
Ga (0.0593, 0.3328, 0.9162)  2 Sb 2.75-2.87, 2 Bi 3.04-3.05
Ga (0.0833, 0.7264, 0.6672)  2 Sb 2.75-2.87, 2 Bi 3.04-3.05
Ga (0.0833, 0.8569, 0.4162)  2 Sb 2.75-2.87, 2 Bi 3.04-3.05
Ga (0.0838, 0.6431, 0.4167)  2 Sb 2.75-2.87, 2 Bi 3.04-3.05
Ga (0.0838, 0.9407, 0.6672)  2 Sb 2.75-2.87, 2 Bi 3.04-3.05
Ga (0.1431, 0.0593, 0.2264)  2 Sb 2.75-2.87, 2 Bi 3.04-3.05
Ga (0.1431, 0.5838, 0.9167)  2 Sb 2.75-2.87, 2 Bi 3.04-3.05
Ga (0.1672, 0.2264, 0.5833)  2 Sb 2.75-2.87, 2 Bi 3.04-3.05
Ga (0.1672, 0.4407, 0.5838)  2 Sb 2.75-2.87, 2 Bi 3.04-3.05
Ga (0.2264, 0.1431, 0.0593)  2 Sb 2.75-2.87, 2 Bi 3.04-3.05
Ga (0.2264, 0.5833, 0.1672)  2 Sb 2.75-2.87, 2 Bi 3.04-3.05
Ga (0.2736, 0.3328, 0.9167)  2 Sb 2.75-2.87, 2 Bi 3.04-3.05
Ga (0.2736, 0.4407, 0.3569)  2 Sb 2.75-2.87, 2 Bi 3.04-3.05
Ga (0.3328, 0.9162, 0.0593)  2 Sb 2.75-2.87, 2 Bi 3.04-3.05
Ga (0.3328, 0.9167, 0.2736)  2 Sb 2.75-2.87, 2 Bi 3.04-3.05
Ga (0.3569, 0.2736, 0.4407)  2 Sb 2.75-2.87, 2 Bi 3.04-3.05
Ga (0.3569, 0.5833, 0.9162)  2 Sb 2.75-2.87, 2 Bi 3.04-3.05
Ga (0.4162, 0.0833, 0.8569)  2 Sb 2.75-2.87, 2 Bi 3.04-3.05
Ga (0.4162, 0.8328, 0.5593)  2 Sb 2.75-2.87, 2 Bi 3.04-3.05
Ga (0.4167, 0.0838, 0.6431)  2 Sb 2.75-2.87, 2 Bi 3.04-3.05
Ga (0.4167, 0.8328, 0.7736)  2 Sb 2.75-2.87, 2 Bi 3.04-3.05
Ga (0.4407, 0.3569, 0.2736)  2 Sb 2.75-2.87, 2 Bi 3.04-3.05
Ga (0.4407, 0.5838, 0.1672)  2 Sb 2.75-2.87, 2 Bi 3.04-3.05
Ga (0.5593, 0.4162, 0.8328)  2 Sb 2.75-2.87, 2 Bi 3.04-3.05
Ga (0.5593, 0.6431, 0.7264)  2 Sb 2.75-2.87, 2 Bi 3.04-3.05
Ga (0.5833, 0.1672, 0.2264)  2 Sb 2.75-2.87, 2 Bi 3.04-3.05
Ga (0.5833, 0.9162, 0.3569)  2 Sb 2.75-2.87, 2 Bi 3.04-3.05
Ga (0.5838, 0.1672, 0.4407)  2 Sb 2.75-2.87, 2 Bi 3.04-3.05
Ga (0.5838, 0.9167, 0.1431)  2 Sb 2.75-2.87, 2 Bi 3.04-3.05
Ga (0.6431, 0.4167, 0.0838)  2 Sb 2.75-2.87, 2 Bi 3.04-3.05
Ga (0.6431, 0.7264, 0.5593)  2 Sb 2.75-2.87, 2 Bi 3.04-3.05
Ga (0.6672, 0.0833, 0.7264)  2 Sb 2.75-2.87, 2 Bi 3.04-3.05
Ga (0.6672, 0.0838, 0.9407)  2 Sb 2.75-2.87, 2 Bi 3.04-3.05
Ga (0.7264, 0.5593, 0.6431)  2 Sb 2.75-2.87, 2 Bi 3.04-3.05
Ga (0.7264, 0.6672, 0.0833)  2 Sb 2.75-2.87, 2 Bi 3.04-3.05
Ga (0.7736, 0.4167, 0.8328)  2 Sb 2.75-2.87, 2 Bi 3.04-3.05
Ga (0.7736, 0.8569, 0.9407)  2 Sb 2.75-2.87, 2 Bi 3.04-3.05
Ga (0.8328, 0.5593, 0.4162)  2 Sb 2.75-2.87, 2 Bi 3.04-3.05
Ga (0.8328, 0.7736, 0.4167)  2 Sb 2.75-2.87, 2 Bi 3.04-3.05
Ga (0.8569, 0.4162, 0.0833)  2 Sb 2.75-2.87, 2 Bi 3.04-3.05
Ga (0.8569, 0.9407, 0.7736)  2 Sb 2.75-2.87, 2 Bi 3.04-3.05
Ga (0.9162, 0.0593, 0.3328)  2 Sb 2.75-2.87, 2 Bi 3.04-3.05
Ga (0.9162, 0.3569, 0.5833)  2 Sb 2.75-2.87, 2 Bi 3.04-3.05
Ga (0.9167, 0.1431, 0.5838)  2 Sb 2.75-2.87, 2 Bi 3.04-3.05
Ga (0.9167, 0.2736, 0.3328)  2 Sb 2.75-2.87, 2 Bi 3.04-3.05
Ga (0.9407, 0.6672, 0.0838)  2 Sb 2.75-2.87, 2 Bi 3.04-3.05
Ga (0.9407, 0.7736, 0.8569)  2 Sb 2.75-2.87, 2 Bi 3.04-3.05
Bi (0.1250, 0.2500, 0.3750)  8 Ga 3.04-3.05
Bi (0.1250, 0.3750, 0.7500)  8 Ga 3.04-3.05
Bi (0.2500, 0.3750, 0.1250)  8 Ga 3.04-3.05
Bi (0.2500, 0.8750, 0.6250)  8 Ga 3.04-3.05
Bi (0.3750, 0.1250, 0.2500)  8 Ga 3.04-3.05
Bi (0.3750, 0.7500, 0.1250)  8 Ga 3.04-3.05
Bi (0.6250, 0.2500, 0.8750)  8 Ga 3.04-3.05
Bi (0.6250, 0.8750, 0.7500)  8 Ga 3.04-3.05
Bi (0.7500, 0.1250, 0.3750)  8 Ga 3.04-3.05
Bi (0.7500, 0.6250, 0.8750)  8 Ga 3.04-3.05
Bi (0.8750, 0.6250, 0.2500)  8 Ga 3.04-3.05
Bi (0.8750, 0.7500, 0.6250)  8 Ga 3.04-3.05
Sb (0.0000, 0.0000, 0.0000)  6 Ga 2.87
Sb (0.0000, 0.0000, 0.5000)  6 Ga 2.87
Sb (0.0000, 0.5000, 0.0000)  6 Ga 2.87
Sb (0.0000, 0.5000, 0.5000)  6 Ga 2.87
Sb (0.1250, 0.7500, 0.8750)  4 Ga 2.75
Sb (0.1250, 0.8750, 0.2500)  4 Ga 2.75
Sb (0.2500, 0.1250, 0.8750)  4 Ga 2.75
Sb (0.2500, 0.6250, 0.3750)  4 Ga 2.75
Sb (0.3750, 0.2500, 0.6250)  4 Ga 2.75
Sb (0.3750, 0.6250, 0.7500)  4 Ga 2.75
Sb (0.5000, 0.0000, 0.0000)  6 Ga 2.87
Sb (0.5000, 0.0000, 0.5000)  6 Ga 2.87
Sb (0.5000, 0.5000, 0.0000)  6 Ga 2.87
Sb (0.5000, 0.5000, 0.5000)  6 Ga 2.87
Sb (0.6250, 0.3750, 0.2500)  4 Ga 2.75
Sb (0.6250, 0.7500, 0.3750)  4 Ga 2.75
Sb (0.7500, 0.3750, 0.6250)  4 Ga 2.75
Sb (0.7500, 0.8750, 0.1250)  4 Ga 2.75
Sb (0.8750, 0.1250, 0.7500)  4 Ga 2.75
Sb (0.8750, 0.2500, 0.1250)  4 Ga 2.75

Calculated values
- Density of states at the Fermi level: 37.16 states/eV/cell
- Symmetry: Ia-3d (230)
- Total DFT energy (no corrections): -3.30 eV/atom
- Uncorrected formation energy: 12.7 kJ/mol of atoms


# 2
Below is a relaxed La2Tb8Ho3 crystal, with properties calculated at the PBE level.

Lattice parameters (Å, degrees): 7.6575 5.5219 11.2260 90.00 109.86 90.00
Closest atoms and distances in Å follow each position.
Element x y z (fractional)
La (0.2398, 0.0000, 0.4808)  8 Tb 3.49-3.68, 2 La 3.84-3.86
La (0.7602, 0.0000, 0.5192)  8 Tb 3.49-3.68, 2 La 3.84-3.86
Tb (0.1245, 0.5000, 0.2497)  4 Ho 3.44-3.82, 4 Tb 3.56, 2 La 3.68
Tb (0.1847, 0.0000, 0.7915)  1 Ho 3.12, 3 Tb 3.24-3.40
Tb (0.3420, 0.5000, 0.6825)  4 Tb 3.40, 2 La 3.49, 2 Ho 3.72
Tb (0.3924, 0.0000, 0.2086)  1 Ho 3.12, 3 Tb 3.24-3.40
Tb (0.6076, 0.0000, 0.7914)  1 Ho 3.12, 3 Tb 3.24-3.40
Tb (0.6580, 0.5000, 0.3175)  4 Tb 3.40, 2 La 3.49, 2 Ho 3.72
Tb (0.8153, 0.0000, 0.2085)  1 Ho 3.12, 3 Tb 3.24-3.40
Tb (0.8755, 0.5000, 0.7503)  4 Ho 3.44-3.82, 4 Tb 3.56, 2 La 3.68
Ho (0.0000, 0.0000, 0.0000)  4 Tb 3.12
Ho (0.2881, 0.5000, 0.9999)  3 Ho 3.24-3.53, 6 Tb 3.44-3.53
Ho (0.7119, 0.5000, 0.0001)  3 Ho 3.24-3.53, 6 Tb 3.44-3.53

Calculated values
- Density of states at the Fermi level: 22.75 states/eV/cell
- Calculated formation energy: 23 kJ per mole of atoms
- Symmetry: P2/m (10)
- Total DFT energy (no corrections): -4.43 eV/atom


# 3
Below is a relaxed K3U3PdS8 crystal, with properties calculated at the PBE level.

Lattice parameters (Å, degrees): 7.8290 7.8290 8.7756 116.46 116.46 60.05
Closest atoms and distances in Å follow each position.
Element x y z (fractional)
K (0.0000, 0.0000, 0.0000)  6 S 3.16-3.24
K (0.0000, 0.5000, 0.0000)  6 S 3.16-3.24
K (0.5000, 0.0000, 0.0000)  6 S 3.16-3.24
U (0.0000, 0.5000, 0.5000)  6 S 2.67-2.74
U (0.5000, 0.0000, 0.5000)  6 S 2.67-2.74
U (0.5000, 0.5000, 0.5000)  6 S 2.67-2.74
Pd (0.0000, 0.0000, 0.5000)  6 S 2.75-2.76
S (0.2361, 0.2361, 0.6957)  2 U 2.67, 1 Pd 2.75
S (0.2372, 0.7223, 0.6965)  2 U 2.67, 1 Pd 2.76
S (0.2646, 0.2646, 0.2938)  3 U 2.74
S (0.2777, 0.7628, 0.3035)  2 U 2.67, 1 Pd 2.76
S (0.7223, 0.2372, 0.6965)  2 U 2.67, 1 Pd 2.76
S (0.7354, 0.7354, 0.7062)  3 U 2.74
S (0.7628, 0.2777, 0.3035)  2 U 2.67, 1 Pd 2.76
S (0.7639, 0.7639, 0.3043)  2 U 2.67, 1 Pd 2.75

Calculated values
- Density of states at the Fermi level: 16.69 states/eV/cell
- Symmetry: C2/m (12)
- Total DFT energy (no corrections): -6.25 eV/atom
- Uncorrected formation energy: -118.6 kJ/mol of atoms


# 4
Below is a relaxed Ca3CuPd2 crystal, with properties calculated at the PBE level.

Lattice parameters (Å, degrees): 11.6408 4.3401 11.3934 90.00 90.00 90.00
Closest atoms and distances in Å follow each position.
Element x y z (fractional)
Ca (0.0503, 0.2500, 0.1227)  1 Cu 2.99, 5 Pd 3.05-3.20
Ca (0.1181, 0.7500, 0.5601)  3 Cu 2.96-3.05, 5 Pd 3.07-3.14
Ca (0.2117, 0.2500, 0.8040)  2 Cu 2.97, 4 Pd 3.03-3.16
Ca (0.2883, 0.7500, 0.3040)  2 Cu 2.97, 4 Pd 3.03-3.16
Ca (0.3819, 0.2500, 0.0601)  3 Cu 2.96-3.05, 5 Pd 3.07-3.14
Ca (0.4497, 0.7500, 0.6227)  1 Cu 2.99, 5 Pd 3.05-3.20
Ca (0.5503, 0.2500, 0.3773)  1 Cu 2.99, 5 Pd 3.05-3.20
Ca (0.6181, 0.7500, 0.9399)  3 Cu 2.96-3.05, 5 Pd 3.07-3.14
Ca (0.7117, 0.2500, 0.6960)  2 Cu 2.97, 4 Pd 3.03-3.16
Ca (0.7883, 0.7500, 0.1960)  2 Cu 2.97, 4 Pd 3.03-3.16
Ca (0.8819, 0.2500, 0.4399)  3 Cu 2.96-3.05, 5 Pd 3.07-3.14
Ca (0.9497, 0.7500, 0.8773)  1 Cu 2.99, 5 Pd 3.05-3.20
Cu (0.1276, 0.2500, 0.3728)  3 Pd 2.57-2.59
Cu (0.3724, 0.7500, 0.8728)  3 Pd 2.57-2.59
Cu (0.6276, 0.2500, 0.1272)  3 Pd 2.57-2.59
Cu (0.8724, 0.7500, 0.6272)  3 Pd 2.57-2.59
Pd (0.0235, 0.7500, 0.3089)  2 Cu 2.59
Pd (0.1942, 0.7500, 0.0054)  1 Cu 2.57
Pd (0.3058, 0.2500, 0.5054)  1 Cu 2.57
Pd (0.4765, 0.2500, 0.8089)  2 Cu 2.59
Pd (0.5235, 0.7500, 0.1911)  2 Cu 2.59
Pd (0.6942, 0.7500, 0.4946)  1 Cu 2.57
Pd (0.8058, 0.2500, 0.9946)  1 Cu 2.57
Pd (0.9765, 0.2500, 0.6911)  2 Cu 2.59

Calculated values
- Density of states at the Fermi level: 14.17 states/eV/cell
- Calculated formation energy: -50 kJ per mole of atoms
- Symmetry: Pnma (62)
- Total DFT energy (no corrections): -3.93 eV/atom


# 5
Below is a relaxed Tb3Rh crystal, with properties calculated at the PBE level.

Lattice parameters (Å, degrees): 11.6035 11.6035 6.3488 90.00 90.00 90.00
Closest atoms and distances in Å follow each position.
Element x y z (fractional)
Tb (0.0362, 0.9070, 0.1991)  2 Rh 2.77-2.83
Tb (0.0930, 0.5362, 0.6991)  2 Rh 2.77-2.83
Tb (0.1145, 0.8336, 0.6931)  1 Rh 2.97
Tb (0.1175, 0.3092, 0.0225)  2 Rh 2.80-2.99
Tb (0.1664, 0.6145, 0.1931)  1 Rh 2.97
Tb (0.1908, 0.1175, 0.4775)  2 Rh 2.80-2.99
Tb (0.3092, 0.3825, 0.4775)  2 Rh 2.80-2.99
Tb (0.3336, 0.8855, 0.1931)  1 Rh 2.97
Tb (0.3825, 0.1908, 0.0225)  2 Rh 2.80-2.99
Tb (0.3855, 0.6664, 0.6931)  1 Rh 2.97
Tb (0.4070, 0.9638, 0.6991)  2 Rh 2.77-2.83
Tb (0.4638, 0.5930, 0.1991)  2 Rh 2.77-2.83
Tb (0.5362, 0.4070, 0.8009)  2 Rh 2.77-2.83
Tb (0.5930, 0.0362, 0.3009)  2 Rh 2.77-2.83
Tb (0.6145, 0.3336, 0.3069)  1 Rh 2.97
Tb (0.6175, 0.8092, 0.9775)  2 Rh 2.80-2.99
Tb (0.6664, 0.1145, 0.8069)  1 Rh 2.97
Tb (0.6908, 0.6175, 0.5225)  2 Rh 2.80-2.99
Tb (0.8092, 0.8825, 0.5225)  2 Rh 2.80-2.99
Tb (0.8336, 0.3855, 0.8069)  1 Rh 2.97
Tb (0.8825, 0.6908, 0.9775)  2 Rh 2.80-2.99
Tb (0.8855, 0.1664, 0.3069)  1 Rh 2.97
Tb (0.9070, 0.4638, 0.3009)  2 Rh 2.77-2.83
Tb (0.9638, 0.0930, 0.8009)  2 Rh 2.77-2.83
Rh (0.0596, 0.3190, 0.5066)  5 Tb 2.77-2.99
Rh (0.1810, 0.0596, 0.9934)  5 Tb 2.77-2.99
Rh (0.3190, 0.4404, 0.9934)  5 Tb 2.77-2.99
Rh (0.4404, 0.1810, 0.5066)  5 Tb 2.77-2.99
Rh (0.5596, 0.8190, 0.4934)  5 Tb 2.77-2.99
Rh (0.6810, 0.5596, 0.0066)  5 Tb 2.77-2.99
Rh (0.8190, 0.9404, 0.0066)  5 Tb 2.77-2.99
Rh (0.9404, 0.6810, 0.4934)  5 Tb 2.77-2.99

Calculated values
- Density of states at the Fermi level: 32.74 states/eV/cell
- Calculated formation energy: -44 kJ per mole of atoms
- Symmetry: P4_2/n (86)
- Total DFT energy (no corrections): -5.76 eV/atom


# 6
Below is a relaxed KSrCdBi crystal, with properties calculated at the PBE level.

Lattice parameters (Å, degrees): 8.2919 8.2919 8.2919 90.00 90.00 90.00
Closest atoms and distances in Å follow each position.
Element x y z (fractional)
K (0.0000, 0.0000, 0.0000)  4 Bi 3.59, 4 Cd 3.59
K (0.0000, 0.5000, 0.5000)  4 Bi 3.59, 4 Cd 3.59
K (0.5000, 0.0000, 0.5000)  4 Bi 3.59, 4 Cd 3.59
K (0.5000, 0.5000, 0.0000)  4 Bi 3.59, 4 Cd 3.59
Sr (0.0000, 0.0000, 0.5000)  4 Cd 3.59, 4 Bi 3.59
Sr (0.0000, 0.5000, 0.0000)  4 Cd 3.59, 4 Bi 3.59
Sr (0.5000, 0.0000, 0.0000)  4 Cd 3.59, 4 Bi 3.59
Sr (0.5000, 0.5000, 0.5000)  4 Cd 3.59, 4 Bi 3.59
Cd (0.2500, 0.2500, 0.2500)  4 K 3.59, 4 Sr 3.59
Cd (0.2500, 0.7500, 0.7500)  4 K 3.59, 4 Sr 3.59
Cd (0.7500, 0.2500, 0.7500)  4 K 3.59, 4 Sr 3.59
Cd (0.7500, 0.7500, 0.2500)  4 K 3.59, 4 Sr 3.59
Bi (0.2500, 0.2500, 0.7500)  4 K 3.59, 4 Sr 3.59
Bi (0.2500, 0.7500, 0.2500)  4 K 3.59, 4 Sr 3.59
Bi (0.7500, 0.2500, 0.2500)  4 K 3.59, 4 Sr 3.59
Bi (0.7500, 0.7500, 0.7500)  4 K 3.59, 4 Sr 3.59

Calculated values
- Density of states at the Fermi level: 0.16 states/eV/cell
- Calculated formation energy: -45 kJ per mole of atoms
- Symmetry: F-43m (216)
- Total DFT energy (no corrections): -2.36 eV/atom